# 1
BaCa4Si4 after structural relaxation. Source: the Alexandria database, functional PBE-GGA.

Cell lengths 9.7826, 9.7826, 5.8763 Å; angles 90.00, 90.00, 90.00 degrees
Last column: nearest neighbours and their distance in Å.
Fractional positions:
1 Ba 0.2500 0.2500 0.2500  4 Si 3.49
2 Ba 0.7500 0.7500 0.7500  4 Si 3.49
3 Ca 0.1065 0.6336 0.1235  5 Si 3.00-3.17
4 Ca 0.1336 0.8935 0.6235  5 Si 3.00-3.17
5 Ca 0.3664 0.6065 0.6235  5 Si 3.00-3.17
6 Ca 0.3935 0.8664 0.1235  5 Si 3.00-3.17
7 Ca 0.6065 0.1336 0.8765  5 Si 3.00-3.17
8 Ca 0.6336 0.3935 0.3765  5 Si 3.00-3.17
9 Ca 0.8664 0.1065 0.3765  5 Si 3.00-3.17
10 Ca 0.8935 0.3664 0.8765  5 Si 3.00-3.17
11 Si 0.0541 0.5793 0.6228  1 Si 2.37
12 Si 0.0793 0.9459 0.1228  1 Si 2.37
13 Si 0.4207 0.5541 0.1228  1 Si 2.37
14 Si 0.4459 0.9207 0.6228  1 Si 2.37
15 Si 0.5541 0.0793 0.3772  1 Si 2.37
16 Si 0.5793 0.4459 0.8772  1 Si 2.37
17 Si 0.9207 0.0541 0.8772  1 Si 2.37
18 Si 0.9459 0.4207 0.3772  1 Si 2.37

Values from the calculation:
**Space group**: P4_2/n
**ΔE_f (raw)**: -7.45 kcal/mol of atoms
**DFT total energy**: -3.837 eV per atom

# 2
BaCa2Si after structural relaxation. Source: the Alexandria database, functional PBE-GGA.

Cell lengths 8.9000, 8.9000, 8.9000 Å; angles 156.18, 147.54, 40.66 degrees
Last column: nearest neighbours and their distance in Å.
Fractional positions:
1 Ba 0.0000 0.0000 0.0000  2 Si 3.37, 2 Ba 3.67, 2 Ca 3.76
2 Ca 0.3308 0.8308 0.5000  4 Si 3.09
3 Ca 0.6815 0.6815 0.0000  2 Si 3.10
4 Si 0.8308 0.3308 0.5000  6 Ca 3.09-3.10, 2 Ba 3.37

Values from the calculation:
**Space group**: Imm2
**Excess energy over the best structure of this formula in the dataset**: 25 meV per atom
**ΔE_f (raw)**: -3.07 kcal/mol of atoms
**DFT total energy**: -2.970 eV per atom

# 3
BaCaSi2 after structural relaxation. Source: the Alexandria database, functional PBE-GGA.

Cell lengths 3.5527, 3.5527, 8.9561 Å; angles 90.00, 90.00, 90.08 degrees
Last column: nearest neighbours and their distance in Å.
Fractional positions:
1 Ba 0.0000 0.0000 0.0000  5 Si 3.24-3.45, 4 Ba 3.55
2 Ca 0.5000 0.5000 0.5928  5 Si 2.94-3.25
3 Si 0.0000 0.0000 0.3622  4 Si 2.66
4 Si 0.5000 0.5000 0.2643  4 Si 2.66, 1 Ca 2.94

Values from the calculation:
**Space group**: Cmm2
**Excess energy over the best structure of this formula in the dataset**: 390 meV per atom
**ΔE_f (raw)**: -1.22 kcal/mol of atoms
**DFT total energy**: -3.746 eV per atom

# 4
BaCaSi2 after structural relaxation. Source: the Alexandria database, functional PBE-GGA.

Cell lengths 8.8225, 8.8225, 8.8225 Å; angles 26.90, 26.90, 26.90 degrees
Last column: nearest neighbours and their distance in Å.
Fractional positions:
1 Ba 0.0000 0.0000 0.0000  6 Si 3.26-3.64
2 Ca 0.8180 0.8180 0.8180  6 Si 3.03-3.37
3 Si 0.2454 0.2454 0.2454  3 Si 2.43
4 Si 0.5585 0.5585 0.5585  3 Si 2.43

Values from the calculation:
**Space group**: R3m
**Excess energy over the best structure of this formula in the dataset**: 185 meV per atom
**ΔE_f (raw)**: -5.95 kcal/mol of atoms
**DFT total energy**: -3.951 eV per atom

# 5
BaCaSi2 after structural relaxation. Source: the Alexandria database, functional PBE-GGA.

Cell lengths 4.0237, 6.3228, 8.8691 Å; angles 90.00, 90.00, 90.00 degrees
Last column: nearest neighbours and their distance in Å.
Fractional positions:
1 Ba 0.0000 0.1290 0.0000  7 Si 3.32-3.53
2 Ba 0.0000 0.8710 0.5000  7 Si 3.32-3.53
3 Ca 0.5000 0.3725 0.6329  6 Si 3.19-3.23
4 Ca 0.5000 0.6275 0.1329  6 Si 3.19-3.23
5 Si 0.0000 0.3864 0.3532  2 Si 2.46
6 Si 0.0000 0.6136 0.8532  2 Si 2.46
7 Si 0.5000 0.1759 0.2964  2 Si 2.46
8 Si 0.5000 0.8241 0.7964  2 Si 2.46

Values from the calculation:
**Space group**: Pmc2_1
**Excess energy over the best structure of this formula in the dataset**: 22 meV per atom
**ΔE_f (raw)**: -9.71 kcal/mol of atoms
**DFT total energy**: -4.114 eV per atom

# 6
BaCa2Si after structural relaxation. Source: the Alexandria database, functional PBE-GGA.

Cell lengths 4.0221, 4.0221, 8.9364 Å; angles 90.00, 90.00, 90.00 degrees
Last column: nearest neighbours and their distance in Å.
Fractional positions:
1 Ba 0.0000 0.0000 0.0000  1 Ca 3.28, 4 Si 3.53
2 Ca 0.0000 0.0000 0.6328  4 Si 3.09, 1 Ba 3.28
3 Ca 0.5000 0.5000 0.3625  1 Si 3.61, 8 Ca 3.73-4.02
4 Si 0.5000 0.5000 0.7668  4 Ca 3.09

Values from the calculation:
**Space group**: P4mm
**Excess energy over the best structure of this formula in the dataset**: 43 meV per atom
**ΔE_f (raw)**: -2.64 kcal/mol of atoms
**DFT total energy**: -2.952 eV per atom

# 7
BaCa2Si after structural relaxation. Source: the Alexandria database, functional PBE-GGA.

Cell lengths 3.6998, 3.6998, 10.4196 Å; angles 90.00, 90.00, 90.00 degrees
Last column: nearest neighbours and their distance in Å.
Fractional positions:
1 Ba 0.0000 0.0000 0.0000  4 Ba 3.70
2 Ca 0.5000 0.5000 0.3338  4 Si 3.14, 1 Ca 3.46
3 Ca 0.5000 0.5000 0.6662  4 Si 3.14, 1 Ca 3.46
4 Si 0.0000 0.0000 0.5000  8 Ca 3.14

Values from the calculation:
**Space group**: P4/mmm
**Excess energy over the best structure of this formula in the dataset**: 36 meV per atom
**ΔE_f (raw)**: -2.82 kcal/mol of atoms
**DFT total energy**: -2.959 eV per atom

# 8
BaCaSi2 after structural relaxation. Source: the Alexandria database, functional PBE-GGA.

Cell lengths 7.3592, 4.8477, 12.8213 Å; angles 90.00, 90.00, 90.00 degrees
Last column: nearest neighbours and their distance in Å.
Fractional positions:
1 Ba 0.1554 0.2500 0.1675  8 Si 3.44-3.48, 1 Ca 3.62
2 Ba 0.3446 0.7500 0.6675  8 Si 3.44-3.48, 1 Ca 3.62
3 Ba 0.6554 0.2500 0.3325  8 Si 3.44-3.48, 1 Ca 3.62
4 Ba 0.8446 0.7500 0.8325  8 Si 3.44-3.48, 1 Ca 3.62
5 Ca 0.1691 0.2500 0.4496  5 Si 3.04-3.14
6 Ca 0.3309 0.7500 0.9496  5 Si 3.04-3.14
7 Ca 0.6691 0.2500 0.0504  5 Si 3.04-3.14
8 Ca 0.8309 0.7500 0.5504  5 Si 3.04-3.14
9 Si 0.0094 0.2500 0.6679  2 Si 2.45-2.49
10 Si 0.1765 0.2500 0.8365  2 Si 2.45-2.49
11 Si 0.3235 0.7500 0.3365  2 Si 2.45-2.49
12 Si 0.4906 0.7500 0.1679  2 Si 2.45-2.49
13 Si 0.5094 0.2500 0.8321  2 Si 2.45-2.49
14 Si 0.6765 0.2500 0.6635  2 Si 2.45-2.49
15 Si 0.8235 0.7500 0.1635  2 Si 2.45-2.49
16 Si 0.9906 0.7500 0.3321  2 Si 2.45-2.49

Values from the calculation:
**Space group**: Pnma
**Excess energy over the best structure of this formula in the dataset**: 32 meV per atom
**ΔE_f (raw)**: -9.49 kcal/mol of atoms
**DFT total energy**: -4.104 eV per atom

# 9
BaCaSi2 after structural relaxation. Source: the Alexandria database, functional PBE-GGA.

Cell lengths 9.5520, 9.5520, 9.5520 Å; angles 23.50, 23.50, 23.50 degrees
Last column: nearest neighbours and their distance in Å.
Fractional positions:
1 Ba 0.0000 0.0000 0.0000  6 Si 3.35
2 Ca 0.5000 0.5000 0.5000  6 Si 3.12
3 Si 0.2442 0.2442 0.2442  3 Ca 3.12, 3 Ba 3.35
4 Si 0.7558 0.7558 0.7558  3 Ca 3.12, 3 Ba 3.35

Values from the calculation:
**Space group**: R-3m
**Excess energy over the best structure of this formula in the dataset**: 603 meV per atom
**ΔE_f (raw)**: 3.69 kcal/mol of atoms
**DFT total energy**: -3.533 eV per atom

# 10
BaCaSi2 after structural relaxation. Source: the Alexandria database, functional PBE-GGA.

Cell lengths 5.6085, 5.6085, 5.6085 Å; angles 127.05, 127.05, 78.18 degrees
Last column: nearest neighbours and their distance in Å.
Fractional positions:
1 Ba 0.0000 0.0000 0.0000  8 Si 3.32, 4 Ca 3.54
2 Ca 0.5000 0.5000 0.0000  8 Si 3.32, 4 Ba 3.54
3 Si 0.2500 0.7500 0.5000  4 Ba 3.32, 4 Ca 3.32, 4 Si 3.54
4 Si 0.7500 0.2500 0.5000  4 Ba 3.32, 4 Ca 3.32, 4 Si 3.54

Values from the calculation:
**Space group**: I4/mmm
**Excess energy over the best structure of this formula in the dataset**: 378 meV per atom
**ΔE_f (raw)**: -1.51 kcal/mol of atoms
**DFT total energy**: -3.758 eV per atom

# 11
BaCaSi2 after structural relaxation. Source: the Alexandria database, functional PBE-GGA.

Cell lengths 4.9149, 4.9149, 4.5075 Å; angles 90.00, 90.00, 90.00 degrees
Last column: nearest neighbours and their distance in Å.
Fractional positions:
1 Ba 0.0000 0.0000 0.0000  8 Si 3.33, 4 Ca 3.48
2 Ca 0.5000 0.5000 0.0000  8 Si 3.33, 4 Ba 3.48
3 Si 0.0000 0.5000 0.5000  4 Ca 3.33, 4 Ba 3.33, 4 Si 3.48
4 Si 0.5000 0.0000 0.5000  4 Ca 3.33, 4 Ba 3.33, 4 Si 3.48

Values from the calculation:
**Space group**: P4/mmm
**Excess energy over the best structure of this formula in the dataset**: 399 meV per atom
**ΔE_f (raw)**: -1.01 kcal/mol of atoms
**DFT total energy**: -3.736 eV per atom

# 12
BaCaSi2 after structural relaxation. Source: the Alexandria database, functional PBE-GGA.

Cell lengths 6.1465, 6.1465, 6.1465 Å; angles 136.07, 136.07, 63.87 degrees
Last column: nearest neighbours and their distance in Å.
Fractional positions:
1 Ba 0.0000 0.0000 0.0000  8 Si 3.25-3.48, 4 Ca 3.48
2 Ca 0.2500 0.7500 0.5000  8 Si 3.25-3.48, 4 Ba 3.48
3 Si 0.5000 0.5000 0.0000  4 Ba 3.25, 4 Ca 3.48, 4 Si 3.48
4 Si 0.7500 0.2500 0.5000  4 Ca 3.25, 4 Si 3.48, 4 Ba 3.48

Values from the calculation:
**Space group**: I-4m2
**Excess energy over the best structure of this formula in the dataset**: 572 meV per atom
**ΔE_f (raw)**: 2.97 kcal/mol of atoms
**DFT total energy**: -3.564 eV per atom